No. 1
Material: Pr7IrBr12
Method: DFT, GGA-PBE
State: optimized geometry

- Formation energy without anion corrections: -32.99 eV per formula unit
- Total magnetic moment: 0.00 μB/cell

Unit cell a=15.5086 b=15.5086 c=10.8957 alpha=90.00 beta=90.00 gamma=120.00
With the nearest neighbours (Å) after each atom.
Space group R-3 (No. 148, hexagonal axes)
One atom of each set of equivalent atoms:
Pr: 0.0000 0.0000 0.0000  6 Br 2.94
Pr: 0.0403 0.8743 0.3545  1 Ir 2.82, 3 Br 3.02-3.11
Ir: 0.0000 0.0000 0.5000  6 Pr 2.82
Br: 0.0233 0.4397 0.1573  3 Pr 3.02-3.25
Br: 0.0429 0.8746 0.8371  3 Pr 2.94-3.15

---

No. 2
Material: RbTb2MnSe4
Method: DFT, GGA-PBE
State: optimized geometry

- Formation energy without anion corrections: -11.56 eV per formula unit
- Total magnetic moment: 16.48 μB/cell

Unit cell a=4.1661 b=14.4806 c=14.5359 alpha=90.00 beta=90.00 gamma=90.00
With the nearest neighbours (Å) after each atom.
Space group Cmcm (No. 63)
One atom of each set of equivalent atoms:
Rb: 0.0000 0.1078 0.2500  6 Se 3.32-3.47
Tb: 0.0000 0.3684 0.0601  6 Se 2.89-2.96
Mn: 0.0000 0.1678 0.7500  4 Se 2.47-2.51
Se: 0.0000 0.0000 0.0000  4 Tb 2.96
Se: 0.0000 0.2627 0.6088  1 Mn 2.47
Se: 0.0000 0.4288 0.2500  2 Mn 2.51

---

No. 3
Material: NdDyTmZn
Method: DFT, GGA-PBE
State: optimized geometry

- Formation energy: -0.1646 eV/atom
- Total magnetic moment: 0.00 μB/cell

Unit cell a=3.5672 b=3.5672 c=8.7115 alpha=90.00 beta=90.00 gamma=90.00
With the nearest neighbours (Å) after each atom.
Space group P4mm (No. 99)
One atom of each set of equivalent atoms:
Nd: 0.0000 0.0000 0.0000  4 Nd 3.57, 4 Tm 3.61, 4 Dy 3.64
Dy: 0.5000 0.5000 0.6991  4 Zn 3.10
Tm: 0.5000 0.5000 0.2965  4 Zn 3.05
Zn: 0.0000 0.0000 0.4924  4 Tm 3.05, 4 Dy 3.10

---

No. 4
Material: CaTbAgBi
Method: DFT, GGA-PBE
State: optimized geometry

- Formation energy: -0.4688 eV/atom
- Total magnetic moment: 0.01 μB/cell

Unit cell a=7.5860 b=7.5860 c=7.5860 alpha=90.00 beta=90.00 gamma=90.00
With the nearest neighbours (Å) after each atom.
Space group F-43m (No. 216)
One atom of each set of equivalent atoms:
Ca: 0.0000 0.0000 0.0000  4 Bi 3.28, 4 Ag 3.28
Tb: 0.0000 0.0000 0.5000  4 Bi 3.28, 4 Ag 3.28
Ag: 0.2500 0.2500 0.2500  4 Tb 3.28, 4 Ca 3.28
Bi: 0.2500 0.2500 0.7500  4 Tb 3.28, 4 Ca 3.28

---

No. 5
Material: KReTe2
Method: DFT, GGA-PBE
State: optimized geometry

- Formation energy without anion corrections: 4.69 eV per formula unit
- Total magnetic moment: 15.66 μB/cell

Unit cell a=7.6400 b=7.6400 c=7.6400 alpha=90.00 beta=90.00 gamma=90.00
With the nearest neighbours (Å) after each atom.
Space group F-43m (No. 216)
One atom of each set of equivalent atoms:
K: 0.0000 0.0000 0.0000  4 Te 3.31, 4 Re 3.31
Re: 0.2500 0.2500 0.2500  4 K 3.31, 4 Te 3.31
Te: 0.0000 0.0000 0.5000  4 Re 3.31, 4 Te 3.31
Te: 0.2500 0.2500 0.7500  4 K 3.31, 4 Te 3.31

---

No. 6
Material: Li5Ho3F12
Method: DFT, GGA-PBE
State: optimized geometry

- Formation energy without anion corrections: -65.21 eV per formula unit
- Total magnetic moment: 0.00 μB/cell

Unit cell a=12.2802 b=12.2802 c=12.2802 alpha=90.00 beta=90.00 gamma=90.00
With the nearest neighbours (Å) after each atom.
Space group Ia-3d (No. 230)
One atom of each set of equivalent atoms:
Li: 0.0000 0.0000 0.0000  6 F 2.06
Li: 0.0000 0.2500 0.3750  4 F 1.80
Ho: 0.0000 0.2500 0.1250  8 F 2.38-2.39
F: 0.0322 0.0600 0.6533  1 Li 1.80

---

No. 7
Material: Ac3PtRh8
Method: DFT, GGA-PBE
State: optimized geometry

- Formation energy: -0.3780 eV/atom
- Total magnetic moment: 0.00 μB/cell

Unit cell a=5.4894 b=5.4894 c=26.8536 alpha=90.00 beta=90.00 gamma=120.00
With the nearest neighbours (Å) after each atom.
Space group R3m (No. 160, hexagonal axes)
One atom of each set of equivalent atoms:
Ac: 0.0000 0.0000 0.0000  12 Rh 3.02-3.30, 3 Pt 3.20
Ac: 0.0000 0.0000 0.1316  12 Rh 3.22-3.26, 4 Ac 3.53
Ac: 0.0000 0.0000 0.5225  9 Rh 3.04-3.32
Pt: 0.0000 0.0000 0.6505  3 Rh 2.77
Rh: 0.0000 0.0000 0.3185  6 Rh 2.69-2.72
Rh: 0.0000 0.0000 0.8193  6 Rh 2.78
Rh: 0.9997 0.4998 0.5709  6 Rh 2.69-2.78
Rh: 0.0023 0.5012 0.0680  6 Rh 2.72-2.78, 1 Pt 2.77

---

No. 8
Material: LiLaSb4
Method: DFT, GGA-PBE
State: optimized geometry

- Formation energy without anion corrections: -1.39 eV per formula unit
- Total magnetic moment: 0.00 μB/cell

Unit cell a=8.9115 b=8.9115 c=8.9115 alpha=90.00 beta=90.00 gamma=90.00
With the nearest neighbours (Å) after each atom.
Space group F-43m (No. 216)
One atom of each set of equivalent atoms:
Li: 0.0000 0.0000 0.0000  12 Sb 3.69, 4 La 3.86
La: 0.2500 0.2500 0.2500  12 Sb 3.70, 4 Li 3.86
Sb: 0.1261 0.1261 0.6261  6 Sb 3.12-3.18

---

Which volume belongs to each record? In order, 756 219 111 109 111 231 234 177 Å³/f.u..